DFT (PBE-GGA) results for a relaxed structure of CeHo5Tl8.

Properties
magnetic moment: 1.3 μB per formula unit
ΔE_f: -278 kJ/mol of formula units
total energy: -3.6167 eV per atom

a = 9.2179 Å, b = 9.2179 Å, c = 9.4660 Å
α = 90.00°, β = 90.00°, γ = 90.00°
With the nearest neighbours (Å) after each atom.
Space group I-4 (No. 82)
Symmetry-distinct sites (fractional):
Ce 0.0000 0.0000 0.0000 [2 per cell]  8 Tl 3.24-3.39
Ho 0.0000 0.5000 0.2500 [2 per cell]  8 Tl 3.20-3.23
Ho 0.1324 0.2650 0.6403 [8 per cell]  8 Tl 3.17-3.29
Tl 0.0768 0.1637 0.3113 [8 per cell]  5 Ho 3.20-3.29, 2 Tl 3.33-3.39, 1 Ce 3.39
Tl 0.0909 0.3375 0.9648 [8 per cell]  5 Ho 3.17-3.20, 1 Ce 3.24, 2 Tl 3.39-3.43